Entry 1:
## Nd6GaOs2I3 (PBE)

Data for an optimized crystal structure of Nd6GaOs2I3.

Calculated values
E_form (uncorrected) in meV/atom: -632

```
12
Lattice="-0.8881 -4.5239 5.7618 3.1133 -2.4908 -6.2093 6.5515 4.4892 2.9523" Properties=species:S:1:pos:R:3 pbc="T T T"
Ga 0.0000 0.0000 0.0000
I 3.0441 -1.9457 5.2739
I 5.7326 -0.5797 -2.7691
I 4.3884 -1.2627 1.2524
Nd 5.9626 1.5962 2.2642
Nd 7.7130 -1.3261 -0.0726
Nd 2.8141 -4.1217 0.2407
Nd 6.2913 -2.0485 4.1807
Nd 1.0637 -1.1993 2.5774
Nd 2.4854 -0.4770 -1.6758
Os 1.7793 -3.1686 -2.2183
Os 0.4459 -3.8461 1.7708
```

***

Entry 2:
## CsTaCl2 (PBE)

Data for an optimized crystal structure of CsTaCl2.

Calculated values
Excess energy over the best structure of this formula in the dataset in meV per atom: 472
E_form (uncorrected) in meV/atom: 316

```
4
Lattice="0.0000 3.8944 3.8944 3.8944 0.0000 3.8944 3.8944 3.8944 0.0000" Properties=species:S:1:pos:R:3 pbc="T T T"
Cl 5.8416 5.8416 5.8416
Cl 1.9472 1.9472 1.9472
Cs 0.0000 0.0000 0.0000
Ta 3.8944 3.8944 3.8944
```

***

Entry 3:
## Ti3Be8Ru (PBE)

Data for an optimized crystal structure of Ti3Be8Ru.

Calculated values
ΔH_f (0 K) in meV per atom: -342.7

```
12
Lattice="-2.6647 0.5484 3.5391 -4.4324 -0.1945 -0.4920 -2.1883 -7.0874 2.2657" Properties=species:S:1:pos:R:3 pbc="T T T"
Be -5.9573 -4.4100 4.6434
Be -2.2882 -3.0320 1.5621
Be -4.8466 -0.9357 3.5319
Be -6.9308 -6.4034 4.2193
Be -3.5161 -1.2095 1.7648
Be -6.8287 -4.7761 2.6563
Be -8.1422 -4.5058 4.4009
Be -5.7292 -1.3066 1.5191
Ti -4.5765 -6.0566 3.1230
Ti -4.6437 -3.3278 2.6496
Ti -7.0960 0.3064 3.0553
Ru -7.0305 -2.3527 3.5166
```

***

Entry 4:
## Ba3Be2RuO8 (PBE)

Data for an optimized crystal structure of Ba3Be2RuO8.

Calculated values
E_form (uncorrected) in meV/atom: -2127

```
14
Lattice="5.5293 0.0000 0.0000 -2.7646 4.7885 0.0000 0.0000 0.0000 7.3048" Properties=species:S:1:pos:R:3 pbc="T T T"
Ru 0.0000 0.0000 3.6524
O 1.3915 0.8034 4.8059
O 4.1378 0.8034 4.8059
O 0.0000 3.1923 0.3307
O 0.0000 1.6068 2.4989
O 2.7646 1.5962 6.9741
O 2.7646 3.1817 4.8059
O 1.3731 3.9851 2.4989
O -1.3731 3.9851 2.4989
Be 0.0000 3.1923 1.8794
Be 2.7646 1.5962 5.4255
Ba 0.0000 0.0000 0.0000
Ba 2.7646 1.5962 2.2291
Ba 0.0000 3.1923 5.0758
```

***

Entry 5:
## CeCuRhPb (PBE)

Data for an optimized crystal structure of CeCuRhPb.

Calculated values
ΔH_f (0 K) in meV per atom: -297.9

```
4
Lattice="-3.4588 -1.8396 2.8601 -2.0550 -4.2519 -1.1070 0.9216 -3.9172 2.7081" Properties=species:S:1:pos:R:3 pbc="T T T"
Ce -2.2961 -5.0044 2.2305
Pb 0.0000 0.0000 0.0000
Rh -3.4441 -7.5065 3.3458
Cu -1.1480 -2.5022 1.1153
```

***

Entry 6:
## CrRu2Cl (PBE)

Data for an optimized crystal structure of CrRu2Cl.

Calculated values
Excess energy over the best structure of this formula in the dataset in meV per atom: 270
E_form (uncorrected) in meV/atom: 567

```
4
Lattice="-0.1711 -4.5343 -2.2315 -0.0597 -5.0239 0.5704 -4.1742 0.0901 0.1817" Properties=species:S:1:pos:R:3 pbc="T T T"
Cl -2.1527 -4.7506 -0.7446
Ru -4.3043 -9.3870 -1.4693
Ru -3.4688 -6.7968 -1.0498
Cr -1.0869 -2.7358 -0.4349
```

***

no.,volume (Å³ per atom),N(E_F) (states/eV per atom)
1,31.8,0.732
2,29.5,1.093
3,10.5,0.391
4,13.8,0.639
5,20.2,1.300
6,14.4,1.026